[1]
DFT (PBE) results for NdPuRhPb after structural relaxation.

The space group is F-43m (No. 216) and the conventional cell measures 7.4274, 7.4274 and 7.4274 Å, with angles of 90.00, 90.00 and 90.00 degrees. The distinct sites, in fractional coordinates, are Nd at (0.0000, 0.0000, 0.0000), Pu at (0.0000, 0.0000, 0.5000), Rh at (0.2500, 0.2500, 0.7500) and Pb at (0.2500, 0.2500, 0.2500).

The calculation puts the raw total energy at -7.76 eV/atom. As for the energy relative to the elements: -216 meV/atom.

=====

[2]
DFT (PBE) results for NdPuZnPb after structural relaxation.

The space group is F-43m (No. 216) and the conventional cell measures 7.6005, 7.6005 and 7.6005 Å, with angles of 90.00, 90.00 and 90.00 degrees. The distinct sites, in fractional coordinates, are Nd at (0.0000, 0.0000, 0.0000), Pu at (0.0000, 0.0000, 0.5000), Zn at (0.2500, 0.2500, 0.2500) and Pb at (0.2500, 0.2500, 0.7500).

The calculation puts the raw total energy at -6.22 eV/atom. As for the energy relative to the elements: -204 meV/atom.

=====

[3]
DFT (PBE) results for RbNdPb after structural relaxation.

The space group is R-3m (No. 166, hexagonal axes) and the conventional cell measures 5.5785, 5.5785 and 31.0318 Å, with angles of 90.00, 90.00 and 120.00 degrees. The distinct sites, in fractional coordinates, are Rb at (0.0000, 0.0000, 0.1275), Nd at (0.0000, 0.0000, 0.3718) and Pb at (0.0000, 0.0000, 0.2691).

The calculation puts the raw total energy at -3.28 eV/atom. As for the energy relative to the elements: -133 meV/atom.

=====

[4]
DFT (PBE) results for RbNd2Pb3Se6 after structural relaxation.

The space group is C2/m (No. 12) and the conventional cell measures 19.0010, 4.2629 and 9.4642 Å, with angles of 90.00, 100.97 and 90.00 degrees. The distinct sites, in fractional coordinates, are Rb at (0.0000, 0.0000, 0.0000), Nd at (0.1682, 0.5000, 0.3341), Pb at (0.0000, 0.0000, 0.5000), Pb at (0.1607, 0.5000, 0.8301), Se at (0.0136, 0.5000, 0.2767), Se at (0.1686, 0.0000, 0.5599) and Se at (0.1824, 0.0000, 0.1194).

For the uncorrected formation energy, the calculation gives -1.08 eV/atom. The calculation puts the raw total energy at -4.63 eV/atom.

=====

[5]
DFT (PBE) results for Rb3Nd2PbSe6 after structural relaxation.

The space group is C2/m (No. 12) and the conventional cell measures 7.5921, 13.1498 and 8.4343 Å, with angles of 90.00, 107.44 and 90.00 degrees. The distinct sites, in fractional coordinates, are Rb at (0.0000, 0.0000, 0.0000), Rb at (0.0000, 0.3353, 0.0000), Nd at (0.0000, 0.1669, 0.5000), Pb at (0.0000, 0.5000, 0.5000), Se at (0.2296, 0.0000, 0.7019) and Se at (0.2363, 0.3312, 0.7023).

For the uncorrected formation energy, the calculation gives -1.36 eV/atom. The calculation puts the raw total energy at -4.45 eV/atom.

=====

[6]
DFT (PBE) results for RbNdPbSe3 after structural relaxation.

The space group is P2_1/m (No. 11) and the conventional cell measures 8.3074, 4.3095 and 11.9656 Å, with angles of 90.00, 105.29 and 90.00 degrees. The distinct sites, in fractional coordinates, are Rb at (0.0722, 0.2500, 0.1680), Nd at (0.4366, 0.7500, 0.8378), Pb at (0.2791, 0.2500, 0.5302), Se at (0.1432, 0.7500, 0.6320), Se at (0.2797, 0.2500, 0.9476) and Se at (0.4160, 0.7500, 0.2807).

For the uncorrected formation energy, the calculation gives -1.29 eV/atom. The calculation puts the raw total energy at -4.61 eV/atom.